No. 1
The following is a DFT calculation (PBE) of a geometry-optimized Cd2C structure.

**ΔE_f**: 1135 meV per atom
**Space-group type**: Cmcm, No. 63

Cell: 7.607 7.607 4.207 Å, 90.00 90.00 148.74°
Positions (direct):
1 Cd 0.186 0.814 0.750
2 Cd 0.413 0.587 0.750
3 Cd 0.587 0.413 0.250
4 Cd 0.814 0.186 0.250
5 C 0.861 0.139 0.750
6 C 0.139 0.861 0.250

No. 2
The following is a DFT calculation (PBE) of a geometry-optimized BiTePbS2 structure.

**Formation energy without anion corrections**: 0.1865 eV/atom
**Space-group type**: P4/mmm, No. 123

Cell: 5.160 6.084 5.160 Å, 90.00 90.00 90.00°
Positions (direct):
1 Pb 0.500 0.500 0.500
2 S 0.000 0.000 0.500
3 S 0.500 0.000 0.000
4 Te 0.000 0.500 0.000
5 Bi 0.000 0.000 0.000

no.,calculated volume (Å³ per atom),D(E_F) (states/eV/f.u.)
1,21.053,0.22
2,32.395,3.27